No. 1
Below is a relaxed NbIBr2 crystal, with properties calculated at the GGA-PBE level.

density of states at the Fermi level	1.138	states/eV per atom
space group	Fm-3m, No. 225
magnetization	0.500	μB/atom
energy above the lowest structure with this stoichiometry	1170	meV/atom

The structure in POSCAR format:
```
NbIBr2
1.0
-0.308 1.494 5.003
-3.381 -2.348 3.227
1.756 -3.155 3.785
I Nb Br
1 1 2
direct
0.500 0.500 0.500 I
0.000 0.000 0.000 Nb
0.250 0.250 0.250 Br
0.750 0.750 0.750 Br
```

***

No. 2
Below is a relaxed NbI5Br crystal, with properties calculated at the GGA-PBE level.

density of states at the Fermi level	0.701	states/eV per atom
space group	Cm, No. 8
magnetization	0.000	μB/atom

The structure in POSCAR format:
```
NbI5Br
1.0
5.755 -0.215 2.770
3.151 7.443 0.620
-0.723 -0.966 8.016
Nb I Br
1 5 1
direct
0.962 0.458 0.458 Nb
0.004 0.711 0.264 I
0.354 0.193 0.193 I
0.004 0.264 0.711 I
0.509 0.744 0.744 I
0.030 0.719 0.719 I
0.668 0.380 0.380 Br
```

***

No. 3
Below is a relaxed Nb2I8Br crystal, with properties calculated at the GGA-PBE level.

density of states at the Fermi level	0.121	states/eV per atom
space group	C2/m, No. 12
magnetization	0.095	μB/atom

The structure in POSCAR format:
```
Nb2I8Br
1.0
-2.915 2.528 -7.114
-1.680 -8.263 -1.948
-7.969 1.180 0.775
Nb I Br
2 8 1
direct
0.882 0.714 0.118 Nb
0.118 0.286 0.882 Nb
0.873 0.281 0.716 I
0.284 0.281 0.127 I
0.127 0.719 0.284 I
0.388 0.216 0.612 I
0.716 0.719 0.873 I
0.815 0.398 0.185 I
0.185 0.602 0.815 I
0.612 0.784 0.388 I
0.000 0.000 0.000 Br
```

***

| no. | volume (Å³ per atom) | formation energy without anion corrections (eV/atom) |
| --- | --- | --- |
| 1 | 25.3 | 0.499 |
| 2 | 51.3 | -0.379 |
| 3 | 48.8 | -0.429 |